# 1
First-principles (PBEsol) data for a relaxed MgInPb2 crystal, as listed in Alexandria via LeMat-Bulk.

extended XYZ file:
```
4
Lattice="3.3558 0.0000 -0.7088 0.0000 4.6396 0.0000 -2.3897 0.0000 7.3974" Properties=species:S:1:pos:R:3 pbc="T T T"
Pb 0.7097 0.0000 4.9781
Pb 0.2564 0.0000 1.7105
Mg -1.1948 2.3198 3.6987
In 1.6779 2.3198 -0.3544
```

Calculated values
* DFT formation energy: -0.02 eV/atom
* crystal system: monoclinic
* size of the total moment: 0.0 μB per cell
* DOS(E_F): 0.480 states/eV per atom



# 2
First-principles (PBEsol) data for a relaxed CsSiB3 crystal, as listed in Alexandria via LeMat-Bulk.

extended XYZ file:
```
5
Lattice="4.2830 0.0000 0.0000 0.0000 4.2830 0.0000 0.0000 0.0000 4.2830" Properties=species:S:1:pos:R:3 pbc="T T T"
Cs 2.1415 2.1415 2.1415
Si 0.0000 0.0000 0.0000
B 0.0000 2.1415 0.0000
B 0.0000 0.0000 2.1415
B 2.1415 0.0000 0.0000
```

Calculated values
* E_form (uncorrected): 1.69 eV/atom
* crystal system: cubic
* size of the total moment: 0.0 μB per cell
* DOS(E_F): 1.222 states/eV per atom



# 3
First-principles (PBEsol) data for a relaxed BaAg3N crystal, as listed in Alexandria via LeMat-Bulk.

extended XYZ file:
```
5
Lattice="-0.5605 -4.5344 0.9448 2.0836 0.6031 4.1306 -4.1366 0.9182 1.9526" Properties=species:S:1:pos:R:3 pbc="T T T"
Ba -1.3068 -1.5065 3.5140
Ag 1.0418 0.3016 2.0653
Ag -2.0683 0.4591 0.9763
Ag -0.2802 -2.2672 0.4724
N 0.0000 0.0000 0.0000
```

Calculated values
* E_form (uncorrected): 0.42 eV/atom
* crystal system: cubic
* size of the total moment: 0.0 μB per cell
* DOS(E_F): 0.346 states/eV per atom



# 4
First-principles (PBEsol) data for a relaxed La2YSc crystal, as listed in Alexandria via LeMat-Bulk.

extended XYZ file:
```
4
Lattice="4.9242 0.0000 0.0000 0.0000 4.9242 0.0000 -2.4621 -2.4621 5.0068" Properties=species:S:1:pos:R:3 pbc="T T T"
Y 0.0000 2.4621 2.5034
Sc 2.4621 2.4621 0.0000
La 0.0000 0.0000 0.0000
La 2.4621 0.0000 2.5034
```

Calculated values
* DFT formation energy: 0.07 eV/atom
* crystal system: tetragonal
* size of the total moment: 0.0 μB per cell
* DOS(E_F): 1.840 states/eV per atom



no.,final energy (eV/atom),ρ (g/cm³)
1,-3.20,8.6
2,-3.86,4.1
3,-3.70,7.8
4,-5.96,5.6